Crystalline Rb3NbSb at its relaxed geometry, computed with PBE.

```
data_Rb3NbSb
_chemical_formula_sum 'Rb3 Nb1 Sb1'
_symmetry_space_group_name_H-M 'P m -3 m'
_symmetry_Int_Tables_number 221
_symmetry_space_group_name_Hall '-P 4 2 3'
_cell_length_a 7.002
_cell_length_b 7.002
_cell_length_c 7.002
_cell_angle_alpha 90.00
_cell_angle_beta 90.00
_cell_angle_gamma 90.00
loop_
_atom_site_label
_atom_site_type_symbol
_atom_site_fract_x
_atom_site_fract_y
_atom_site_fract_z
Rb1 Rb 0.000 0.000 0.500
Nb1 Nb 0.500 0.500 0.500
Sb1 Sb 0.000 0.000 0.000
```

Values from the calculation:
Raw total energy, eV for the cell shown: -11.98
Density of states at the Fermi level, states/eV per cell: 13.09
ΔE_f (raw), eV/atom: 1.0233